[1]
Here is a geometry-optimized Ga2CuH structure from Alexandria via LeMat-Bulk. Energies are from GGA-PBE.

As for the crystal system: tetragonal. The calculation puts the energy above the most stable polymorph in this dataset at 0 meV per atom. The volume is 61.6 Å³/f.u.

The space group is I-42d (No. 122) and the conventional cell measures 4.5305, 4.5305 and 12.0136 Å, with angles of 90.00, 90.00 and 90.00 degrees. The asymmetric unit holds Ga at (0.1570, 0.2500, 0.1250), Cu at (0.0000, 0.0000, 0.5000) and H at (0.0000, 0.0000, 0.0000).



[2]
Here is a geometry-optimized CaTmGa structure from Alexandria via LeMat-Bulk. Energies are from GGA-PBE.

As for the crystal system: tetragonal. The calculation puts the energy above the most stable polymorph in this dataset at 14 meV per atom. The volume is 85.6 Å³/f.u.

The space group is I4/mmm (No. 139) and the conventional cell measures 3.5379, 3.5379 and 27.3443 Å, with angles of 90.00, 90.00 and 90.00 degrees. The asymmetric unit holds Ca at (0.0000, 0.0000, 0.0704), Tm at (0.0000, 0.0000, 0.2040) and Ga at (0.0000, 0.0000, 0.3602).



[3]
Here is a geometry-optimized BaNi2S4 structure from Alexandria via LeMat-Bulk. Energies are from GGA-PBE.

As for the crystal system: tetragonal. The calculation puts the uncorrected energy at -0.17994 Ha/atom. The volume is 150.5 Å³/f.u.

The space group is I4/mmm (No. 139) and the conventional cell measures 7.4548, 7.4548 and 5.4177 Å, with angles of 90.00, 90.00 and 90.00 degrees. The asymmetric unit holds Ba at (0.0000, 0.0000, 0.0000), Ni at (0.0000, 0.5000, 0.2500) and S at (0.0000, 0.2706, 0.5000).



[4]
Here is a geometry-optimized Mn2VPdCl structure from Alexandria via LeMat-Bulk. Energies are from GGA-PBE.

As for the crystal system: tetragonal. The calculation puts the energy above the most stable polymorph in this dataset at 0 meV per atom. The volume is 92.6 Å³/f.u.

The space group is P4/mmm (No. 123) and the conventional cell measures 4.5876, 4.5876 and 4.3992 Å, with angles of 90.00, 90.00 and 90.00 degrees. The asymmetric unit holds Mn at (0.0000, 0.5000, 0.0000), V at (0.0000, 0.0000, 0.0000), Pd at (0.5000, 0.5000, 0.5000) and Cl at (0.0000, 0.0000, 0.5000).



[5]
Here is a geometry-optimized Pa2Te2H structure from Alexandria via LeMat-Bulk. Energies are from GGA-PBE.

As for the crystal system: orthorhombic. The calculation puts the uncorrected energy at -0.22612 Ha/atom. The volume is 122.0 Å³/f.u.

The space group is Cmc2_1 (No. 36) and the conventional cell measures 3.9597, 11.1487 and 11.0552 Å, with angles of 90.00, 90.00 and 90.00 degrees. The asymmetric unit holds Pa at (0.0000, 0.0825, 0.0000), Pa at (0.0000, 0.1939, 0.2054), Te at (0.0000, 0.0850, 0.7233), Te at (0.0000, 0.3581, 0.9298) and H at (0.0000, 0.3515, 0.5932).



[6]
Here is a geometry-optimized Ho8In2Fe structure from Alexandria via LeMat-Bulk. Energies are from GGA-PBE.

As for the crystal system: monoclinic. The calculation puts the uncorrected energy at -0.17531 Ha/atom. The volume is 295.4 Å³/f.u.

The space group is C2/m (No. 12) and the conventional cell measures 17.0820, 5.5019 and 6.8454 Å, with angles of 90.00, 113.30 and 90.00 degrees. The asymmetric unit holds Ho at (0.0030, 0.0000, 0.2613), Ho at (0.1152, 0.5000, 0.8851), Ho at (0.1263, 0.5000, 0.3786), Ho at (0.1945, 0.0000, 0.7111), In at (0.1847, 0.0000, 0.1872) and Fe at (0.0000, 0.5000, 0.5000).



[7]
Here is a geometry-optimized EuEr2Co structure from Alexandria via LeMat-Bulk. Energies are from GGA-PBE.

As for the crystal system: trigonal. The calculation puts the energy above the most stable polymorph in this dataset at 136 meV per atom. The volume is 124.9 Å³/f.u.

The space group is R-3m (No. 166, hexagonal axes) and the conventional cell measures 3.7440, 3.7440 and 30.8541 Å, with angles of 90.00, 90.00 and 120.00 degrees. The asymmetric unit holds Eu at (0.0000, 0.0000, 0.0000), Er at (0.0000, 0.0000, 0.1189) and Co at (0.0000, 0.0000, 0.5000).



[8]
Here is a geometry-optimized LiTiFeSb structure from Alexandria via LeMat-Bulk. Energies are from GGA-PBE.

As for the crystal system: cubic. The calculation puts the uncorrected energy at -0.22024 Ha/atom. The volume is 56.3 Å³/f.u.

The space group is F-43m (No. 216) and the conventional cell measures 6.0845, 6.0845 and 6.0845 Å, with angles of 90.00, 90.00 and 90.00 degrees. The asymmetric unit holds Li at (0.0000, 0.0000, 0.0000), Ti at (0.2500, 0.2500, 0.7500), Fe at (0.0000, 0.0000, 0.5000) and Sb at (0.2500, 0.2500, 0.2500).



[9]
Here is a geometry-optimized BN2ClF structure from Alexandria via LeMat-Bulk. Energies are from GGA-PBE.

As for the crystal system: tetragonal. The calculation puts the energy above the most stable polymorph in this dataset at 0 meV per atom. The volume is 42.5 Å³/f.u.

The space group is P4/mmm (No. 123) and the conventional cell measures 3.5350, 3.5350 and 3.3979 Å, with angles of 90.00, 90.00 and 90.00 degrees. The asymmetric unit holds B at (0.0000, 0.0000, 0.0000), N at (0.0000, 0.5000, 0.0000), Cl at (0.5000, 0.5000, 0.5000) and F at (0.0000, 0.0000, 0.5000).



[10]
Here is a geometry-optimized Tb3PmDyHo structure from Alexandria via LeMat-Bulk. Energies are from GGA-PBE.

As for the crystal system: monoclinic. The calculation puts the uncorrected energy at -0.16327 Ha/atom. The volume is 200.8 Å³/f.u.

The space group is C2/m (No. 12) and the conventional cell measures 21.9609, 5.4710 and 6.7474 Å, with angles of 90.00, 97.82 and 90.00 degrees. The asymmetric unit holds Tb at (0.0251, 0.0000, 0.2712), Tb at (0.1670, 0.5000, 0.2773), Tb at (0.2253, 0.5000, 0.8113), Pm at (0.1322, 0.0000, 0.9727), Dy at (0.0708, 0.5000, 0.6724) and Ho at (0.1658, 0.0000, 0.5309).



[11]
Here is a geometry-optimized FeTcBr2 structure from Alexandria via LeMat-Bulk. Energies are from GGA-PBE.

As for the crystal system: cubic. The calculation puts the energy above the most stable polymorph in this dataset at 1054 meV per atom. The volume is 80.9 Å³/f.u.

The space group is F-43m (No. 216) and the conventional cell measures 6.8655, 6.8655 and 6.8655 Å, with angles of 90.00, 90.00 and 90.00 degrees. The asymmetric unit holds Fe at (0.0000, 0.0000, 0.0000), Tc at (0.2500, 0.2500, 0.2500), Br at (0.0000, 0.0000, 0.5000) and Br at (0.2500, 0.2500, 0.7500).



[12]
Here is a geometry-optimized NaRe2IrC structure from Alexandria via LeMat-Bulk. Energies are from GGA-PBE.

As for the crystal system: tetragonal. The calculation puts the uncorrected energy at -0.17100 Ha/atom. The volume is 91.1 Å³/f.u.

The space group is P4/mmm (No. 123) and the conventional cell measures 4.5388, 4.5388 and 4.4226 Å, with angles of 90.00, 90.00 and 90.00 degrees. The asymmetric unit holds Na at (0.0000, 0.0000, 0.0000), Re at (0.0000, 0.5000, 0.0000), Ir at (0.0000, 0.0000, 0.5000) and C at (0.5000, 0.5000, 0.5000).



[13]
Here is a geometry-optimized Y5Er6 structure from Alexandria via LeMat-Bulk. Energies are from GGA-PBE.

As for the crystal system: monoclinic. The calculation puts the energy above the most stable polymorph in this dataset at 25 meV per atom. The volume is 352.5 Å³/f.u.

The space group is C2/m (No. 12) and the conventional cell measures 8.9657, 13.0561 and 6.3089 Å, with angles of 90.00, 107.33 and 90.00 degrees. The asymmetric unit holds Y at (0.0000, 0.0000, 0.0000), Y at (0.0000, 0.1301, 0.5000), Y at (0.0000, 0.2601, 0.0000), Er at (0.1622, 0.5000, 0.1893) and Er at (0.1778, 0.3701, 0.6721).



[14]
Here is a geometry-optimized B3HRu structure from Alexandria via LeMat-Bulk. Energies are from GGA-PBE.

As for the crystal system: cubic. The calculation puts the energy above the most stable polymorph in this dataset at 309 meV per atom. The volume is 66.2 Å³/f.u.

The space group is Pm-3m (No. 221) and the conventional cell measures 4.0458, 4.0458 and 4.0458 Å, with angles of 90.00, 90.00 and 90.00 degrees. The asymmetric unit holds B at (0.0000, 0.0000, 0.5000), H at (0.5000, 0.5000, 0.5000) and Ru at (0.0000, 0.0000, 0.0000).



[15]
Here is a geometry-optimized BIBr2 structure from Alexandria via LeMat-Bulk. Energies are from GGA-PBE.

As for the crystal system: cubic. The calculation puts the energy above the most stable polymorph in this dataset at 836 meV per atom. The volume is 122.9 Å³/f.u.

The space group is Fd-3m (No. 227, origin choice 2) and the conventional cell measures 9.9430, 9.9430 and 9.9430 Å, with angles of 90.00, 90.00 and 90.00 degrees. The asymmetric unit holds B at (0.1250, 0.1250, 0.1250), I at (0.1250, 0.1250, 0.6250) and Br at (0.0000, 0.0000, 0.0000).



[16]
Here is a geometry-optimized Ho7Tm12Hf structure from Alexandria via LeMat-Bulk. Energies are from GGA-PBE.

As for the crystal system: trigonal. The calculation puts the uncorrected energy at -0.16416 Ha/atom. The volume is 612.5 Å³/f.u.

The space group is R-3 (No. 148, hexagonal axes) and the conventional cell measures 12.5411, 12.5411 and 13.4904 Å, with angles of 90.00, 90.00 and 120.00 degrees. The asymmetric unit holds Ho at (0.0000, 0.0000, 0.0000), Ho at (0.0673, 0.1974, 0.3503), Tm at (0.0003, 0.4359, 0.2496), Tm at (0.0668, 0.8662, 0.8491) and Hf at (0.0000, 0.0000, 0.5000).



[17]
Here is a geometry-optimized TbY2InC structure from Alexandria via LeMat-Bulk. Energies are from GGA-PBE.

As for the crystal system: tetragonal. The calculation puts the uncorrected energy at -0.23604 Ha/atom. The volume is 120.6 Å³/f.u.

The space group is P4/mmm (No. 123) and the conventional cell measures 4.9309, 4.9309 and 4.9605 Å, with angles of 90.00, 90.00 and 90.00 degrees. The asymmetric unit holds Tb at (0.0000, 0.0000, 0.0000), Y at (0.0000, 0.5000, 0.5000), In at (0.5000, 0.5000, 0.0000) and C at (0.0000, 0.0000, 0.5000).



[18]
Here is a geometry-optimized CeMn10Cu structure from Alexandria via LeMat-Bulk. Energies are from GGA-PBE.

As for the crystal system: orthorhombic. The calculation puts the uncorrected energy at -0.30757 Ha/atom. The volume is 160.8 Å³/f.u.

The space group is Cmm2 (No. 35) and the conventional cell measures 11.6044, 11.6428 and 4.7595 Å, with angles of 90.00, 90.00 and 90.00 degrees. The asymmetric unit holds Ce at (0.2500, 0.2500, 0.0000), Mn at (0.0000, 0.0000, 0.5049), Mn at (0.0000, 0.1129, 0.0067), Mn at (0.0000, 0.3218, 0.2714), Mn at (0.0000, 0.5000, 0.5130), Mn at (0.1086, 0.1702, 0.4969), Mn at (0.1165, 0.5000, 0.0068), Mn at (0.1764, 0.3944, 0.5013), Mn at (0.1779, 0.0000, 0.2340), Mn at (0.1776, 0.0000, 0.7748) and Cu at (0.0000, 0.3190, 0.7841).



[19]
Here is a geometry-optimized PmPd3Pt2 structure from Alexandria via LeMat-Bulk. Energies are from GGA-PBE.

As for the crystal system: trigonal. The calculation puts the energy above the most stable polymorph in this dataset at 59 meV per atom. The volume is 103.9 Å³/f.u.

The space group is R-3m (No. 166, hexagonal axes) and the conventional cell measures 5.7658, 5.7658 and 21.6603 Å, with angles of 90.00, 90.00 and 120.00 degrees. The asymmetric unit holds Pm at (0.0000, 0.0000, 0.2194), Pd at (0.0079, 0.5040, 0.2251), Pt at (0.0000, 0.0000, 0.0000) and Pt at (0.0000, 0.5000, 0.0000).



[20]
Here is a geometry-optimized Pr3UO7 structure from Alexandria via LeMat-Bulk. Energies are from GGA-PBE.

As for the crystal system: orthorhombic. The calculation puts the uncorrected energy at -0.32619 Ha/atom. The volume is 176.3 Å³/f.u.

The space group is Cmcm (No. 63) and the conventional cell measures 7.8639, 11.1992 and 8.0058 Å, with angles of 90.00, 90.00 and 90.00 degrees. The asymmetric unit holds Pr at (0.0000, 0.0000, 0.0000), Pr at (0.2329, 0.2651, 0.2500), U at (0.0000, 0.5000, 0.0000), O at (0.0000, 0.1310, 0.7500), O at (0.0000, 0.1334, 0.2500), O at (0.0000, 0.4165, 0.2500) and O at (0.2038, 0.3770, 0.5284).



[21]
Here is a geometry-optimized Al4CoTe structure from Alexandria via LeMat-Bulk. Energies are from GGA-PBE.

As for the crystal system: cubic. The calculation puts the uncorrected energy at -0.14001 Ha/atom. The volume is 107.2 Å³/f.u.

The space group is F-43m (No. 216) and the conventional cell measures 7.5418, 7.5418 and 7.5418 Å, with angles of 90.00, 90.00 and 90.00 degrees. The asymmetric unit holds Al at (0.1241, 0.1241, 0.1241), Co at (0.2500, 0.2500, 0.7500) and Te at (0.0000, 0.0000, 0.5000).



[22]
Here is a geometry-optimized La4RhCBr2 structure from Alexandria via LeMat-Bulk. Energies are from GGA-PBE.

As for the crystal system: monoclinic. The calculation puts the uncorrected energy at -0.21771 Ha/atom. The volume is 221.4 Å³/f.u.

The space group is P2/m (No. 10) and the conventional cell measures 7.1083, 4.0601 and 7.9700 Å, with angles of 90.00, 105.71 and 90.00 degrees. The asymmetric unit holds La at (0.2190, 0.0000, 0.1842), La at (0.2374, 0.5000, 0.8051), Rh at (0.5000, 0.0000, 0.0000), C at (0.0000, 0.5000, 0.0000), Br at (0.0000, 0.0000, 0.5000) and Br at (0.5000, 0.5000, 0.5000).



[23]
Here is a geometry-optimized Ce2PmCd5 structure from Alexandria via LeMat-Bulk. Energies are from GGA-PBE.

As for the crystal system: tetragonal. The calculation puts the uncorrected energy at -0.10554 Ha/atom. The volume is 207.2 Å³/f.u.

The space group is I4/mmm (No. 139) and the conventional cell measures 5.0065, 5.0065 and 16.5369 Å, with angles of 90.00, 90.00 and 90.00 degrees. The asymmetric unit holds Ce at (0.0000, 0.0000, 0.2382), Pm at (0.0000, 0.0000, 0.5000), Cd at (0.0000, 0.0000, 0.0000) and Cd at (0.0000, 0.5000, 0.1173).



no.,M_tot (μB per cell)
1,0.00
2,0.00
3,0.00
4,5.21
5,1.49
6,0.00
7,23.79
8,0.00
9,0.05
10,0.00
11,27.46
12,3.98
13,0.00
14,0.90
15,6.99
16,0.00
17,0.00
18,40.83
19,0.00
20,4.00
21,6.55
22,0.00
23,4.51